Entry 1:
! SmAl3PtAu (PBE-GGA, optimized geometry); values from VASP
&SYSTEM
  ibrav = 0, nat = 12, ntyp = 4
/
ATOMIC_SPECIES
Al 26.98 Al.upf
Au 196.97 Au.upf
Sm 150.36 Sm.upf
Pt 195.08 Pt.upf
CELL_PARAMETERS angstrom
-4.741 -0.691 3.590
-1.464 -5.752 -3.040
4.596 -0.465 5.980
ATOMIC_POSITIONS angstrom
Al -2.797 -2.021 0.909
Au 1.785 -2.741 4.326
Al -0.427 -1.676 -0.886
Sm -2.079 -1.795 4.397
Sm 0.470 -5.113 2.133
Al -2.044 -5.334 3.762
Pt -0.708 -6.489 5.304
Au -3.395 -4.167 2.203
Al -1.037 -4.076 -2.155
Al 0.435 -1.574 2.768
Al -3.408 -4.421 -0.360
Pt -0.901 -0.418 1.225
! **DOS at the Fermi energy**: 0.480 states/eV per atom


Entry 2:
! Sm2Al3Pt4Au (PBE-GGA, optimized geometry); values from VASP
&SYSTEM
  ibrav = 0, nat = 10, ntyp = 4
/
ATOMIC_SPECIES
Sm 150.36 Sm.upf
Al 26.98 Al.upf
Pt 195.08 Pt.upf
Au 196.97 Au.upf
CELL_PARAMETERS angstrom
-0.549 2.652 -3.045
-2.245 -2.755 -1.995
-9.566 4.013 5.222
ATOMIC_POSITIONS angstrom
Sm -2.718 2.351 -0.188
Al -4.783 2.006 2.611
Pt -4.340 -0.028 0.759
Pt -1.397 -0.051 -2.520
Sm -8.245 1.611 2.891
Al -8.646 4.838 3.048
Pt 0.000 0.000 0.000
Au -6.180 1.955 0.091
Al -2.317 -0.876 -0.345
Pt -6.623 3.989 1.943
! **DOS at the Fermi energy**: 0.397 states/eV per atom


Entry 3:
! Sm2Al4PtAu3 (PBE-GGA, optimized geometry); values from VASP
&SYSTEM
  ibrav = 0, nat = 10, ntyp = 4
/
ATOMIC_SPECIES
Al 26.98 Al.upf
Au 196.97 Au.upf
Sm 150.36 Sm.upf
Pt 195.08 Pt.upf
CELL_PARAMETERS angstrom
4.361 0.000 0.000
0.000 4.361 0.000
0.000 0.000 10.484
ATOMIC_POSITIONS angstrom
Al 0.000 0.000 0.000
Au 0.000 2.180 1.417
Sm 2.180 0.000 2.652
Al 0.000 2.180 3.922
Sm 0.000 2.180 7.832
Al 2.180 2.180 0.000
Au 0.000 0.000 5.242
Au 2.180 0.000 9.067
Pt 2.180 2.180 5.242
Al 2.180 0.000 6.562
! **DOS at the Fermi energy**: 0.648 states/eV per atom


Entry 4:
! Sr2Al4PtAu3 (PBE-GGA, optimized geometry); values from VASP
&SYSTEM
  ibrav = 0, nat = 10, ntyp = 4
/
ATOMIC_SPECIES
Sr 87.62 Sr.upf
Au 196.97 Au.upf
Al 26.98 Al.upf
Pt 195.08 Pt.upf
CELL_PARAMETERS angstrom
-4.453 -0.258 -0.390
0.448 -1.298 -4.261
0.315 -10.152 3.126
ATOMIC_POSITIONS angstrom
Sr -2.146 -2.700 0.597
Au 0.158 -5.076 1.563
Al -2.031 -6.414 1.741
Al -2.002 -0.778 -2.326
Pt -1.844 -5.854 -0.762
Al 0.000 0.000 0.000
Sr 0.460 -8.231 0.204
Au -1.953 -8.921 2.512
Al 0.344 -4.516 -0.940
Au 0.266 -2.010 -1.712
! **DOS at the Fermi energy**: 0.525 states/eV per atom


Entry 5:
! SrAl3PtAu (PBE-GGA, optimized geometry); values from VASP
&SYSTEM
  ibrav = 0, nat = 12, ntyp = 4
/
ATOMIC_SPECIES
Al 26.98 Al.upf
Au 196.97 Au.upf
Pt 195.08 Pt.upf
Sr 87.62 Sr.upf
CELL_PARAMETERS angstrom
6.337 0.000 0.000
0.000 6.698 0.000
0.000 -3.349 6.501
ATOMIC_POSITIONS angstrom
Al 1.584 0.000 2.569
Al 0.000 1.946 0.000
Au 4.753 3.349 1.535
Al 0.000 4.752 0.000
Pt 4.753 3.349 6.231
Sr 1.584 3.349 3.389
Al 3.169 1.946 0.000
Al 4.753 3.349 3.932
Sr 4.753 0.000 3.112
Al 3.169 4.752 0.000
Pt 1.584 0.000 0.270
Au 1.584 0.000 4.966
! **DOS at the Fermi energy**: 0.417 states/eV per atom


Entry 6:
! SrAl4PtAu2 (PBE-GGA, optimized geometry); values from VASP
&SYSTEM
  ibrav = 0, nat = 8, ntyp = 4
/
ATOMIC_SPECIES
Au 196.97 Au.upf
Pt 195.08 Pt.upf
Sr 87.62 Sr.upf
Al 26.98 Al.upf
CELL_PARAMETERS angstrom
4.340 0.000 0.000
2.170 3.759 0.000
2.170 1.253 10.057
ATOMIC_POSITIONS angstrom
Au 6.510 3.759 7.880
Pt 4.340 2.506 5.028
Sr 0.000 0.000 0.000
Al 2.170 1.253 5.893
Al 6.510 3.759 4.164
Al 4.340 2.506 7.554
Au 2.170 1.253 2.177
Al 4.340 2.506 2.503
! **DOS at the Fermi energy**: 0.358 states/eV per atom


Entry 7:
! TbAl3PtAu (PBE-GGA, optimized geometry); values from VASP
&SYSTEM
  ibrav = 0, nat = 12, ntyp = 4
/
ATOMIC_SPECIES
Tb 158.93 Tb.upf
Al 26.98 Al.upf
Au 196.97 Au.upf
Pt 195.08 Pt.upf
CELL_PARAMETERS angstrom
5.826 0.000 0.000
0.000 6.604 0.000
0.000 -3.302 6.157
ATOMIC_POSITIONS angstrom
Tb 1.457 3.302 2.522
Al 0.000 4.644 0.000
Al 0.000 1.960 0.000
Au 4.370 0.000 0.867
Tb 4.370 0.000 3.635
Pt 1.457 0.000 4.459
Al 2.913 1.960 0.000
Al 4.370 3.302 4.255
Au 1.457 3.302 5.290
Pt 4.370 3.302 1.698
Al 2.913 4.644 0.000
Al 1.457 0.000 1.902
! **DOS at the Fermi energy**: 0.359 states/eV per atom


Entry 8:
! Tb2Al4Pt3Au (PBE-GGA, optimized geometry); values from VASP
&SYSTEM
  ibrav = 0, nat = 10, ntyp = 4
/
ATOMIC_SPECIES
Al 26.98 Al.upf
Au 196.97 Au.upf
Pt 195.08 Pt.upf
Tb 158.93 Tb.upf
CELL_PARAMETERS angstrom
4.230 0.000 0.000
0.000 4.230 0.000
0.000 0.000 10.588
ATOMIC_POSITIONS angstrom
Al 0.000 0.000 0.000
Au 2.115 2.115 5.294
Pt 0.000 2.115 1.415
Pt 0.000 0.000 5.294
Tb 2.115 0.000 2.575
Tb 0.000 2.115 8.014
Pt 2.115 0.000 9.173
Al 0.000 2.115 3.865
Al 2.115 0.000 6.724
Al 2.115 2.115 0.000
! **DOS at the Fermi energy**: 0.584 states/eV per atom


Entry 9:
! Th2Al4Pt3Au (PBE-GGA, optimized geometry); values from VASP
&SYSTEM
  ibrav = 0, nat = 10, ntyp = 4
/
ATOMIC_SPECIES
Pt 195.08 Pt.upf
Al 26.98 Al.upf
Au 196.97 Au.upf
Th 232.04 Th.upf
CELL_PARAMETERS angstrom
-1.066 1.010 -4.093
-2.743 -3.372 -0.118
-7.607 6.066 3.478
ATOMIC_POSITIONS angstrom
Pt -7.143 5.777 0.976
Al -4.175 0.550 1.223
Al -1.905 -1.181 -2.105
Au -5.708 1.852 -0.366
Th -2.420 2.010 -1.184
Pt -3.803 3.033 1.739
Pt -2.368 -0.891 0.397
Th -7.091 2.875 2.556
Al 0.000 0.000 0.000
Al -5.336 4.335 0.150
! **DOS at the Fermi energy**: 0.853 states/eV per atom


Entry 10:
! Th2Al3Pt4Au (PBE-GGA, optimized geometry); values from VASP
&SYSTEM
  ibrav = 0, nat = 10, ntyp = 4
/
ATOMIC_SPECIES
Al 26.98 Al.upf
Th 232.04 Th.upf
Pt 195.08 Pt.upf
Au 196.97 Au.upf
CELL_PARAMETERS angstrom
-1.134 3.875 0.764
0.010 -0.793 4.032
11.145 3.145 0.591
ATOMIC_POSITIONS angstrom
Al 5.572 1.573 0.295
Th 8.331 1.953 2.458
Pt 3.731 0.655 2.214
Al 1.365 -0.012 2.088
Pt 0.000 0.000 0.000
Au 5.010 3.114 2.694
Al 9.217 4.699 0.901
Th 2.252 2.733 0.532
Pt 6.852 4.031 0.775
Pt -0.562 1.541 2.398
! **DOS at the Fermi energy**: 0.592 states/eV per atom


Entry 11:
! Th2Al3Pt12Au (PBE-GGA, optimized geometry); values from VASP
&SYSTEM
  ibrav = 0, nat = 18, ntyp = 4
/
ATOMIC_SPECIES
Al 26.98 Al.upf
Pt 195.08 Pt.upf
Th 232.04 Th.upf
Au 196.97 Au.upf
CELL_PARAMETERS angstrom
7.793 -0.264 -0.187
3.620 6.907 -0.187
3.620 2.107 6.580
ATOMIC_POSITIONS angstrom
Al 1.810 3.453 -0.093
Pt 7.601 4.425 0.493
Al 3.897 -0.132 -0.093
Pt 9.602 3.093 2.194
Pt 5.780 1.125 0.798
Pt 11.200 4.280 5.408
Pt 5.431 5.657 4.013
Th 9.228 5.372 3.810
Pt 7.431 4.326 5.713
Au 0.000 0.000 0.000
Pt 7.431 6.822 2.194
Pt 3.833 4.471 0.798
Pt 9.252 7.625 5.408
Al 1.810 1.053 3.290
Pt 7.601 1.928 4.013
Th 5.804 3.379 2.396
Pt 3.833 2.231 3.955
Pt 11.200 6.519 2.251
! **DOS at the Fermi energy**: 0.436 states/eV per atom


Entry 12:
! Tm2Al4PtAu3 (PBE-GGA, optimized geometry); values from VASP
&SYSTEM
  ibrav = 0, nat = 10, ntyp = 4
/
ATOMIC_SPECIES
Tm 168.93 Tm.upf
Pt 195.08 Pt.upf
Au 196.97 Au.upf
Al 26.98 Al.upf
CELL_PARAMETERS angstrom
4.263 0.000 0.000
0.000 4.263 0.000
0.000 0.000 10.584
ATOMIC_POSITIONS angstrom
Tm 2.132 0.000 2.696
Pt 2.132 2.132 5.292
Au 2.132 0.000 9.112
Au 0.000 2.132 1.472
Al 2.132 2.132 0.000
Au 0.000 0.000 5.292
Al 0.000 2.132 3.933
Tm 0.000 2.132 7.888
Al 0.000 0.000 0.000
Al 2.132 0.000 6.651
! **DOS at the Fermi energy**: 0.489 states/eV per atom


Entry 13:
! TmAlPtAu (PBE-GGA, optimized geometry); values from VASP
&SYSTEM
  ibrav = 0, nat = 4, ntyp = 4
/
ATOMIC_SPECIES
Pt 195.08 Pt.upf
Au 196.97 Au.upf
Al 26.98 Al.upf
Tm 168.93 Tm.upf
CELL_PARAMETERS angstrom
4.720 0.000 0.000
2.360 4.088 0.000
2.360 1.363 3.854
ATOMIC_POSITIONS angstrom
Pt 7.080 4.088 2.890
Au 2.360 1.363 0.963
Al 4.720 2.725 1.927
Tm 0.000 0.000 0.000
! **DOS at the Fermi energy**: 0.482 states/eV per atom


Entry 14:
! Tm2Al4Pt3Au (PBE-GGA, optimized geometry); values from VASP
&SYSTEM
  ibrav = 0, nat = 10, ntyp = 4
/
ATOMIC_SPECIES
Al 26.98 Al.upf
Au 196.97 Au.upf
Pt 195.08 Pt.upf
Tm 168.93 Tm.upf
CELL_PARAMETERS angstrom
-3.027 -0.867 2.716
-2.107 -1.987 -2.983
4.968 -9.184 2.607
ATOMIC_POSITIONS angstrom
Al 0.757 -4.340 -0.541
Au -0.083 -6.018 1.170
Pt 2.484 -4.592 1.304
Pt -0.372 -2.253 -1.134
Al 0.000 0.000 0.000
Tm 2.713 -7.956 0.485
Al -2.567 -1.427 -0.134
Al 1.644 -6.270 3.015
Pt 2.773 -8.357 3.607
Tm -0.312 -2.655 1.988
! **DOS at the Fermi energy**: 0.413 states/eV per atom


Entry 15:
! AlPt2WAu (PBE-GGA, optimized geometry); values from VASP
&SYSTEM
  ibrav = 0, nat = 5, ntyp = 4
/
ATOMIC_SPECIES
Pt 195.08 Pt.upf
W 183.84 W.upf
Al 26.98 Al.upf
Au 196.97 Au.upf
CELL_PARAMETERS angstrom
4.979 0.000 0.000
0.000 4.785 0.000
0.000 0.000 4.979
ATOMIC_POSITIONS angstrom
Pt 2.490 0.000 0.000
W 0.000 2.392 0.000
Pt 0.000 0.000 2.490
Al 2.490 2.392 2.490
Au 0.000 0.000 0.000
! **DOS at the Fermi energy**: 0.938 states/eV per atom


Entry 16:
! Y2Al4PtAu3 (PBE-GGA, optimized geometry); values from VASP
&SYSTEM
  ibrav = 0, nat = 10, ntyp = 4
/
ATOMIC_SPECIES
Y 88.91 Y.upf
Pt 195.08 Pt.upf
Au 196.97 Au.upf
Al 26.98 Al.upf
CELL_PARAMETERS angstrom
4.304 0.000 0.000
0.000 4.304 0.000
0.000 0.000 10.547
ATOMIC_POSITIONS angstrom
Y 2.152 0.000 2.672
Pt 2.152 2.152 5.273
Au 0.000 0.000 5.273
Al 2.152 2.152 0.000
Au 0.000 2.152 1.447
Y 0.000 2.152 7.875
Al 0.000 0.000 0.000
Al 0.000 2.152 3.930
Au 2.152 0.000 9.099
Al 2.152 0.000 6.617
! **DOS at the Fermi energy**: 0.557 states/eV per atom


Entry 17:
! YAl2PtAu2 (PBE-GGA, optimized geometry); values from VASP
&SYSTEM
  ibrav = 0, nat = 6, ntyp = 4
/
ATOMIC_SPECIES
Al 26.98 Al.upf
Y 88.91 Y.upf
Au 196.97 Au.upf
Pt 195.08 Pt.upf
CELL_PARAMETERS angstrom
4.738 0.000 0.000
0.000 4.738 0.000
0.000 0.000 5.659
ATOMIC_POSITIONS angstrom
Al 2.369 0.000 0.000
Y 0.000 0.000 2.829
Au 2.369 2.369 1.485
Al 0.000 2.369 0.000
Au 2.369 2.369 4.174
Pt 0.000 0.000 0.000
! **DOS at the Fermi energy**: 0.458 states/eV per atom


Entry 18:
! YAl3PtAu (PBE-GGA, optimized geometry); values from VASP
&SYSTEM
  ibrav = 0, nat = 12, ntyp = 4
/
ATOMIC_SPECIES
Au 196.97 Au.upf
Al 26.98 Al.upf
Pt 195.08 Pt.upf
Y 88.91 Y.upf
CELL_PARAMETERS angstrom
-0.133 -4.532 3.634
-1.665 -3.933 -4.966
7.818 0.692 1.150
ATOMIC_POSITIONS angstrom
Au 5.411 -2.126 -0.130
Al -0.472 -1.116 -1.409
Al -1.193 -2.817 -3.557
Pt 5.199 -6.484 -0.927
Al -1.259 -5.083 -1.740
Au 0.609 -5.647 -0.052
Al 2.911 -6.066 -0.491
Pt 0.821 -1.289 0.745
Al 3.109 -1.706 0.309
Al -0.539 -3.382 0.408
Y 3.880 -3.965 -2.480
Y 2.140 -3.807 2.298
! **DOS at the Fermi energy**: 0.393 states/eV per atom


Entry 19:
! PuAlAu (PBE-GGA, optimized geometry); values from VASP
&SYSTEM
  ibrav = 0, nat = 3, ntyp = 3
/
ATOMIC_SPECIES
Pu 244.00 Pu.upf
Al 26.98 Al.upf
Au 196.97 Au.upf
CELL_PARAMETERS angstrom
3.129 0.000 0.000
0.000 3.129 0.000
-1.564 -1.564 6.170
ATOMIC_POSITIONS angstrom
Pu 1.564 1.564 5.529
Al 0.000 0.000 3.253
Au 1.564 1.564 1.707
! **DOS at the Fermi energy**: 2.063 states/eV per atom


Entry 20:
! PuAlAu11 (PBE-GGA, optimized geometry); values from VASP
&SYSTEM
  ibrav = 0, nat = 13, ntyp = 3
/
ATOMIC_SPECIES
Au 196.97 Au.upf
Pu 244.00 Pu.upf
Al 26.98 Al.upf
CELL_PARAMETERS angstrom
-2.435 4.614 -1.896
-0.138 0.021 -7.248
-7.128 -0.770 -0.844
ATOMIC_POSITIONS angstrom
Au -0.069 0.011 -3.624
Au -2.784 2.084 -6.751
Au -5.633 1.087 -5.927
Au -7.425 2.609 -7.638
Au -2.517 -0.232 -5.012
Au -4.068 2.779 -4.061
Pu 0.000 0.000 0.000
Al -1.286 2.318 -4.572
Au -7.184 4.098 -4.976
Au -2.276 1.257 -2.350
Au -6.918 1.782 -3.238
Au -3.564 -0.385 -0.422
Au -4.782 1.922 -1.370
! **DOS at the Fermi energy**: 1.571 states/eV per atom


Entry 21:
! Pu2AlAu (PBE-GGA, optimized geometry); values from VASP
&SYSTEM
  ibrav = 0, nat = 4, ntyp = 3
/
ATOMIC_SPECIES
Au 196.97 Au.upf
Al 26.98 Al.upf
Pu 244.00 Pu.upf
CELL_PARAMETERS angstrom
-0.870 -2.290 -1.965
4.447 0.975 -3.105
0.763 -3.717 3.995
ATOMIC_POSITIONS angstrom
Au -0.053 -3.004 1.015
Al 1.788 -0.657 -2.535
Pu 2.605 -1.371 0.445
Pu 0.000 0.000 0.000
! **DOS at the Fermi energy**: 2.533 states/eV per atom


Entry 22:
! Pu2AlAu (PBE-GGA, optimized geometry); values from VASP
&SYSTEM
  ibrav = 0, nat = 4, ntyp = 3
/
ATOMIC_SPECIES
Pu 244.00 Pu.upf
Au 196.97 Au.upf
Al 26.98 Al.upf
CELL_PARAMETERS angstrom
5.272 0.000 0.000
0.000 3.601 0.000
0.000 0.000 3.601
ATOMIC_POSITIONS angstrom
Pu 0.000 1.801 0.000
Au 2.636 0.000 0.000
Al 2.636 1.801 1.801
Pu 0.000 0.000 1.801
! **DOS at the Fermi energy**: 1.869 states/eV per atom


| no. | calculated formation energy (eV per atom) | final energy (eV/atom) | magnetic moment (μB per formula unit) |
| --- | --- | --- | --- |
| 1 | -0.497 | -4.708 | 0.0 |
| 2 | -1.009 | -5.819 | 0.0 |
| 3 | -0.817 | -4.845 | 0.0 |
| 4 | -0.720 | -4.141 | 0.0 |
| 5 | -0.518 | -4.223 | 0.0 |
| 6 | -0.621 | -4.277 | 0.0 |
| 7 | -0.555 | -4.751 | 0.0 |
| 8 | -1.022 | -5.585 | 0.0 |
| 9 | -1.018 | -6.139 | 0.0 |
| 10 | -1.011 | -6.362 | 0.0 |
| 11 | -0.526 | -6.183 | 0.0 |
| 12 | -0.761 | -4.739 | 0.0 |
| 13 | -0.878 | -5.262 | 0.0 |
| 14 | -0.998 | -5.530 | 0.0 |
| 15 | 1.729 | -4.682 | 1.9 |
| 16 | -0.805 | -5.182 | 0.0 |
| 17 | -0.562 | -4.986 | 0.0 |
| 18 | -0.482 | -4.984 | 0.0 |
| 19 | -0.349 | -7.466 | 5.6 |
| 20 | -0.188 | -4.351 | 5.5 |
| 21 | -0.278 | -9.199 | 11.2 |
| 22 | 0.025 | -8.896 | 0.9 |